[1]
Material: K2BaBr
Method: DFT, PBE-GGA
State: relaxed

Output
The space-group type is I4/mmm. For the formation energy without anion corrections, the calculation gives -532.4 meV/atom. The uncorrected energy is -1.980 eV per atom.

Lattice parameters (Å, degrees): 5.2113 5.2113 15.9220 90.00 90.00 90.00
Sites, in units of the cell vectors:
K1 0.0000 0.5000 0.2500
K2 0.0000 0.5000 0.7500
K3 0.5000 0.0000 0.2500
K4 0.5000 0.0000 0.7500
Ba1 0.0000 0.0000 0.0000
Ba2 0.5000 0.5000 0.5000
Br1 0.0000 0.0000 0.5000
Br2 0.5000 0.5000 0.0000

=====

[2]
Material: KBaBr2
Method: DFT, PBE-GGA
State: relaxed

Output
The space-group type is I-4m2. For the formation energy without anion corrections, the calculation gives -1446.0 meV/atom. The uncorrected energy is -3.037 eV per atom.

Lattice parameters (Å, degrees): 4.6248 4.6248 16.8014 90.00 90.00 90.00
Sites, in units of the cell vectors:
K1 0.0000 0.0000 0.0000
K2 0.5000 0.5000 0.5000
Ba1 0.0000 0.5000 0.7500
Ba2 0.5000 0.0000 0.2500
Br1 0.0000 0.0000 0.5000
Br2 0.0000 0.5000 0.2500
Br3 0.5000 0.0000 0.7500
Br4 0.5000 0.5000 0.0000

=====

[3]
Material: KBaBr
Method: DFT, PBE-GGA
State: relaxed

Output
The space-group type is F-43m. For the formation energy without anion corrections, the calculation gives -802.2 meV/atom. The uncorrected energy is -2.367 eV per atom.

Lattice parameters (Å, degrees): 8.1650 8.1650 8.1650 90.00 90.00 90.00
Sites, in units of the cell vectors:
K1 0.0000 0.0000 0.0000
K2 0.0000 0.5000 0.5000
K3 0.5000 0.0000 0.5000
K4 0.5000 0.5000 0.0000
Ba1 0.0000 0.0000 0.5000
Ba2 0.0000 0.5000 0.0000
Ba3 0.5000 0.0000 0.0000
Ba4 0.5000 0.5000 0.5000
Br1 0.2500 0.2500 0.2500
Br2 0.2500 0.7500 0.7500
Br3 0.7500 0.2500 0.7500
Br4 0.7500 0.7500 0.2500

=====

[4]
Material: KBa2Br
Method: DFT, PBE-GGA
State: relaxed

Output
The space-group type is C2/m. For the formation energy without anion corrections, the calculation gives -465.9 meV/atom. The uncorrected energy is -2.120 eV per atom.

Lattice parameters (Å, degrees): 8.7298 12.6279 4.3795 90.00 117.52 90.00
Sites, in units of the cell vectors:
K1 0.0000 0.0000 0.0000
K2 0.5000 0.5000 0.0000
Ba1 0.2500 0.2500 0.5000
Ba2 0.2500 0.7500 0.5000
Ba3 0.7500 0.2500 0.5000
Ba4 0.7500 0.7500 0.5000
Br1 0.0000 0.5000 0.0000
Br2 0.5000 0.0000 0.0000